(1)
This record from Alexandria describes crystalline TmAl2Te6 at its relaxed geometry. The functional is PBE.

POSCAR file:
```
TmAl2Te6
1.0
7.669 -5.089 0.000
7.669 5.089 0.000
-1.514 0.000 7.849
Tm Al Te
2 4 12
Direct
0.110 0.890 0.750 Tm
0.890 0.110 0.250 Tm
0.216 0.377 0.669 Al
0.377 0.216 0.169 Al
0.623 0.784 0.831 Al
0.784 0.623 0.331 Al
0.032 0.208 0.606 Te
0.121 0.614 0.909 Te
0.208 0.032 0.106 Te
0.288 0.466 0.404 Te
0.386 0.879 0.591 Te
0.466 0.288 0.904 Te
0.534 0.712 0.096 Te
0.614 0.121 0.409 Te
0.712 0.534 0.596 Te
0.792 0.968 0.894 Te
0.879 0.386 0.091 Te
0.968 0.792 0.394 Te
```

Total energy = -70.20 eV/cell
Calculated volume = 612.7 Å³/cell
DOS at the Fermi energy = 0.074 states/eV/atom
Formation energy from raw total energies = -0.48 eV per atom

(2)
This record from Alexandria describes crystalline Ba2LiZn4Ag3 at its relaxed geometry. The functional is PBE.

POSCAR file:
```
Ba2LiZn4Ag3
1.0
4.715 0.000 0.000
0.000 4.715 0.000
0.000 0.000 10.848
Ba Li Zn Ag
2 1 4 3
Direct
0.000 0.500 0.247 Ba
0.500 0.000 0.753 Ba
0.000 0.000 0.500 Li
0.000 0.000 0.000 Zn
0.000 0.500 0.625 Zn
0.500 0.000 0.375 Zn
0.500 0.500 0.000 Zn
0.000 0.500 0.875 Ag
0.500 0.000 0.125 Ag
0.500 0.500 0.500 Ag
```

ΔH_f (0 K) = -181.4 meV/atom
Total energy = -21.22 eV/cell
Calculated volume = 241.1 Å³/cell
DOS at the Fermi energy = 0.524 states/eV/atom

(3)
This record from Alexandria describes crystalline KAc2Tb at its relaxed geometry. The functional is PBE.

POSCAR file:
```
KAc2Tb
1.0
1.943 1.122 13.929
-1.943 1.122 13.929
0.000 -2.243 13.929
K Ac Tb
1 2 1
Direct
0.000 0.000 0.000 K
0.096 0.096 0.096 Ac
0.904 0.904 0.904 Ac
0.500 0.500 0.500 Tb
```

ΔH_f (0 K) = 162.3 meV/atom
Total energy = -13.30 eV/cell
Calculated volume = 182.1 Å³/cell
DOS at the Fermi energy = 1.087 states/eV/atom

(4)
This record from Alexandria describes crystalline Ce2Dy at its relaxed geometry. The functional is PBE.

POSCAR file:
```
Ce2Dy
1.0
0.000 4.462 4.462
4.462 0.000 4.462
4.462 4.462 0.000
Ce Dy
4 2
Direct
0.000 0.000 0.000 Ce
0.000 0.000 0.500 Ce
0.000 0.500 0.000 Ce
0.500 0.000 0.000 Ce
0.375 0.375 0.375 Dy
0.625 0.625 0.625 Dy
```

ΔH_f (0 K) = 209.1 meV/atom
Total energy = -31.69 eV/cell
Calculated volume = 177.7 Å³/cell
DOS at the Fermi energy = 3.113 states/eV/atom

(5)
This record from Alexandria describes crystalline SiTe3N at its relaxed geometry. The functional is PBE.

POSCAR file:
```
SiTe3N
1.0
4.767 0.000 0.000
0.000 4.767 0.000
0.000 0.000 4.767
Si Te N
1 3 1
Direct
0.000 0.000 0.000 Si
0.000 0.500 0.500 Te
0.500 0.000 0.500 Te
0.500 0.500 0.000 Te
0.500 0.500 0.500 N
```

Total energy = -18.81 eV/cell
Calculated volume = 108.3 Å³/cell
DOS at the Fermi energy = 0.547 states/eV/atom
Formation energy from raw total energies = 0.87 eV per atom

(6)
This record from Alexandria describes crystalline Sr2PdSe at its relaxed geometry. The functional is PBE.

POSCAR file:
```
Sr2PdSe
1.0
2.169 1.252 7.633
-2.169 1.252 7.633
0.000 -2.504 7.633
Sr Pd Se
2 1 1
Direct
0.000 0.000 0.000 Sr
0.169 0.169 0.169 Sr
0.584 0.584 0.584 Pd
0.418 0.418 0.418 Se
```

Total energy = -16.65 eV/cell
Calculated volume = 124.4 Å³/cell
Formation energy from raw total energies = -1.15 eV per atom

(7)
This record from Alexandria describes crystalline Sb3PbC at its relaxed geometry. The functional is PBE.

POSCAR file:
```
Sb3PbC
1.0
5.826 0.000 0.000
0.000 5.826 0.000
0.000 0.000 5.826
Sb Pb C
3 1 1
Direct
0.000 0.000 0.500 Sb
0.000 0.500 0.000 Sb
0.500 0.000 0.000 Sb
0.000 0.000 0.000 Pb
0.500 0.500 0.500 C
```

Total energy = -13.81 eV/cell
Calculated volume = 197.8 Å³/cell
DOS at the Fermi energy = 1.693 states/eV/atom
Formation energy from raw total energies = 2.30 eV per atom

(8)
This record from Alexandria describes crystalline K7RbNa2 at its relaxed geometry. The functional is PBE.

POSCAR file:
```
K7RbNa2
1.0
4.138 -18.717 0.000
4.138 18.717 0.000
0.000 0.000 4.364
K Rb Na
7 1 2
Direct
0.000 0.000 0.000 K
0.143 0.357 0.000 K
0.293 0.707 0.500 K
0.357 0.143 0.000 K
0.643 0.857 0.000 K
0.707 0.293 0.500 K
0.857 0.643 0.000 K
0.500 0.500 0.500 Rb
0.201 0.799 0.000 Na
0.799 0.201 0.000 Na
```

ΔH_f (0 K) = 50.0 meV/atom
Total energy = -10.79 eV/cell
Calculated volume = 676.0 Å³/cell
DOS at the Fermi energy = 0.610 states/eV/atom

(9)
This record from Alexandria describes crystalline Be2CuSi at its relaxed geometry. The functional is PBE.

POSCAR file:
```
Be2CuSi
1.0
-1.758 1.758 3.443
1.758 -1.758 3.443
1.758 1.758 -3.443
Be Cu Si
2 1 1
Direct
0.250 0.750 0.500 Be
0.750 0.250 0.500 Be
0.000 0.000 0.000 Cu
0.500 0.500 0.000 Si
```

Total energy = -16.45 eV/cell
Calculated volume = 42.5 Å³/cell
DOS at the Fermi energy = 0.279 states/eV/atom
Formation energy from raw total energies = 0.13 eV per atom

(10)
This record from Alexandria describes crystalline ReSeIN2 at its relaxed geometry. The functional is PBE.

POSCAR file:
```
ReSeIN2
1.0
3.856 0.000 0.000
0.000 3.856 0.000
0.000 0.000 6.978
Re Se I N
1 1 1 2
Direct
0.000 0.000 0.000 Re
0.500 0.500 0.500 Se
0.500 0.500 0.000 I
0.000 0.500 0.500 N
0.500 0.000 0.500 N
```

Total energy = -22.27 eV/cell
Calculated volume = 103.7 Å³/cell
DOS at the Fermi energy = 0.794 states/eV/atom
Formation energy from raw total energies = 2.37 eV per atom

(11)
This record from Alexandria describes crystalline Tl4GaAu5 at its relaxed geometry. The functional is PBE.

POSCAR file:
```
Tl4GaAu5
1.0
-4.811 4.811 2.527
4.811 -4.811 2.527
4.811 4.811 -2.527
Tl Ga Au
4 1 5
Direct
0.000 0.309 0.309 Tl
0.000 0.691 0.691 Tl
0.309 0.000 0.309 Tl
0.691 0.000 0.691 Tl
0.697 0.697 0.000 Ga
0.191 0.191 0.000 Au
0.314 0.314 0.630 Au
0.314 0.684 0.000 Au
0.684 0.314 0.000 Au
0.684 0.684 0.370 Au
```

ΔH_f (0 K) = -55.6 meV/atom
Total energy = -29.43 eV/cell
Calculated volume = 233.9 Å³/cell
DOS at the Fermi energy = 0.305 states/eV/atom

(12)
This record from Alexandria describes crystalline HfTl4Se4 at its relaxed geometry. The functional is PBE.

POSCAR file:
```
HfTl4Se4
1.0
9.537 0.000 0.000
0.012 9.545 0.000
4.062 4.029 15.340
Hf Tl Se
5 20 20
Direct
0.000 0.000 0.000 Hf
0.015 0.184 0.401 Hf
0.177 0.814 0.801 Hf
0.823 0.186 0.199 Hf
0.985 0.816 0.599 Hf
0.040 0.573 0.200 Tl
0.211 0.220 0.600 Tl
0.218 0.586 0.404 Tl
0.220 0.396 0.012 Tl
0.221 0.948 0.206 Tl
0.377 0.598 0.616 Tl
0.387 0.206 0.813 Tl
0.395 0.786 0.995 Tl
0.412 0.967 0.405 Tl
0.415 0.390 0.200 Tl
0.585 0.610 0.800 Tl
0.588 0.033 0.595 Tl
0.605 0.214 0.005 Tl
0.613 0.794 0.187 Tl
0.623 0.402 0.384 Tl
0.779 0.052 0.794 Tl
0.780 0.604 0.988 Tl
0.782 0.414 0.596 Tl
0.789 0.780 0.400 Tl
0.960 0.427 0.800 Tl
0.065 0.550 0.597 Se
0.073 0.897 0.423 Se
0.077 0.735 0.979 Se
0.089 0.084 0.822 Se
0.090 0.234 0.225 Se
0.246 0.543 0.811 Se
0.251 0.887 0.624 Se
0.270 0.072 0.007 Se
0.284 0.258 0.397 Se
0.446 0.892 0.799 Se
0.554 0.108 0.201 Se
0.716 0.742 0.603 Se
0.730 0.928 0.993 Se
0.749 0.113 0.376 Se
0.754 0.457 0.189 Se
0.910 0.766 0.775 Se
0.911 0.916 0.178 Se
0.923 0.265 0.021 Se
0.927 0.103 0.577 Se
0.935 0.450 0.403 Se
```

Total energy = -199.69 eV/cell
Calculated volume = 1396.5 Å³/cell
Formation energy from raw total energies = -0.73 eV per atom

(13)
This record from Alexandria describes crystalline NbAlAs at its relaxed geometry. The functional is PBE.

POSCAR file:
```
NbAlAs
1.0
5.955 -1.719 0.000
5.955 1.719 0.000
-1.266 0.000 5.103
Nb Al As
2 2 2
Direct
0.000 0.000 0.000 Nb
0.712 0.712 0.853 Nb
0.041 0.041 0.529 Al
0.353 0.353 0.637 Al
0.359 0.359 0.160 As
0.649 0.649 0.305 As
```

ΔH_f (0 K) = -394.1 meV/atom
Total energy = -39.29 eV/cell
Calculated volume = 104.5 Å³/cell
DOS at the Fermi energy = 0.419 states/eV/atom

(14)
This record from Alexandria describes crystalline Mg2CoHg at its relaxed geometry. The functional is PBE.

POSCAR file:
```
Mg2CoHg
1.0
-2.027 2.027 9.505
2.027 -2.027 9.505
2.027 2.027 -9.505
Mg Co Hg
4 2 2
Direct
0.110 0.625 0.985 Mg
0.375 0.360 0.485 Mg
0.640 0.125 0.015 Mg
0.875 0.890 0.515 Mg
0.000 0.000 0.000 Co
0.750 0.250 0.500 Co
0.250 0.750 0.500 Hg
0.500 0.500 0.000 Hg
```

ΔH_f (0 K) = 387.6 meV/atom
Total energy = -18.09 eV/cell
Calculated volume = 156.2 Å³/cell
DOS at the Fermi energy = 0.781 states/eV/atom

(15)
This record from Alexandria describes crystalline ZnAg2Sb at its relaxed geometry. The functional is PBE.

POSCAR file:
```
ZnAg2Sb
1.0
0.000 3.419 3.419
3.419 0.000 3.419
3.419 3.419 0.000
Zn Ag Sb
1 2 1
Direct
0.000 0.000 0.000 Zn
0.250 0.250 0.250 Ag
0.500 0.500 0.500 Ag
0.750 0.750 0.750 Sb
```

Total energy = -10.46 eV/cell
Calculated volume = 79.9 Å³/cell
DOS at the Fermi energy = 0.624 states/eV/atom
Formation energy from raw total energies = 0.16 eV per atom

(16)
This record from Alexandria describes crystalline DyTmBe4 at its relaxed geometry. The functional is PBE.

POSCAR file:
```
DyTmBe4
1.0
0.000 3.537 3.537
3.537 0.000 3.537
3.537 3.537 0.000
Dy Tm Be
1 1 4
Direct
0.000 0.000 0.000 Dy
0.750 0.750 0.750 Tm
0.375 0.375 0.375 Be
0.375 0.375 0.876 Be
0.375 0.876 0.375 Be
0.876 0.375 0.375 Be
```

ΔH_f (0 K) = 73.0 meV/atom
Total energy = -23.54 eV/cell
Calculated volume = 88.5 Å³/cell
DOS at the Fermi energy = 0.567 states/eV/atom

(17)
This record from Alexandria describes crystalline TlZnCo2 at its relaxed geometry. The functional is PBE.

POSCAR file:
```
TlZnCo2
1.0
-1.978 1.978 8.827
1.978 -1.978 8.827
1.978 1.978 -8.827
Tl Zn Co
2 2 4
Direct
0.000 0.000 0.000 Tl
0.750 0.250 0.500 Tl
0.250 0.750 0.500 Zn
0.500 0.500 0.000 Zn
0.227 0.625 0.102 Co
0.375 0.477 0.602 Co
0.523 0.125 0.898 Co
0.875 0.773 0.398 Co
```

ΔH_f (0 K) = 590.0 meV/atom
Total energy = -30.98 eV/cell
Calculated volume = 138.2 Å³/cell
DOS at the Fermi energy = 0.723 states/eV/atom

(18)
This record from Alexandria describes crystalline Ca3CdSn at its relaxed geometry. The functional is PBE.

POSCAR file:
```
Ca3CdSn
1.0
5.960 0.000 0.000
0.000 5.960 0.000
0.000 0.000 5.960
Ca Cd Sn
3 1 1
Direct
0.000 0.000 0.500 Ca
0.000 0.500 0.000 Ca
0.500 0.000 0.000 Ca
0.500 0.500 0.500 Cd
0.000 0.000 0.000 Sn
```

ΔH_f (0 K) = -117.9 meV/atom
Total energy = -11.51 eV/cell
Calculated volume = 211.7 Å³/cell
DOS at the Fermi energy = 0.989 states/eV/atom

(19)
This record from Alexandria describes crystalline CePm3Rh at its relaxed geometry. The functional is PBE.

POSCAR file:
```
CePm3Rh
1.0
5.552 0.000 0.000
0.000 5.552 0.000
0.000 0.000 5.552
Ce Pm Rh
1 3 1
Direct
0.000 0.000 0.000 Ce
0.000 0.500 0.500 Pm
0.500 0.000 0.500 Pm
0.500 0.500 0.000 Pm
0.500 0.500 0.500 Rh
```

ΔH_f (0 K) = -78.5 meV/atom
Total energy = -27.93 eV/cell
Calculated volume = 171.2 Å³/cell
DOS at the Fermi energy = 2.251 states/eV/atom

(20)
This record from Alexandria describes crystalline Re3SnF at its relaxed geometry. The functional is PBE.

POSCAR file:
```
Re3SnF
1.0
4.306 0.000 0.000
0.000 4.306 0.000
0.000 0.000 4.306
Re Sn F
3 1 1
Direct
0.000 0.000 0.500 Re
0.000 0.500 0.000 Re
0.500 0.000 0.000 Re
0.500 0.500 0.500 Sn
0.000 0.000 0.000 F
```

Total energy = -36.17 eV/cell
Calculated volume = 79.8 Å³/cell
DOS at the Fermi energy = 1.106 states/eV/atom
Formation energy from raw total energies = 1.41 eV per atom